[1]
# PBE-GGA PbICl2, relaxed
data_PbICl2
_space_group_name_H-M_alt 'R -3 m'
_space_group_IT_number 166
_space_group_name_Hall '-R 3 2"'
_cell_length_a 3.6414
_cell_length_b 3.6414
_cell_length_c 32.0004
_cell_angle_alpha 90.00
_cell_angle_beta 90.00
_cell_angle_gamma 120.00
loop_
_atom_site_label
_atom_site_type_symbol
_atom_site_fract_x
_atom_site_fract_y
_atom_site_fract_z
_atom_site_occupancy
Pb1 Pb 0.0000 0.0000 0.0000 1
I1 I 0.0000 0.0000 0.5000 1
Cl1 Cl 0.0000 0.0000 0.0820 1
# Distance to the lowest polymorph of the same formula, kJ/mol of atoms: 66.3
# ρ, Mg/m³: 5.49
# DFT total energy, eV per atom: -2.269

***

[2]
# PBE-GGA PbICl, relaxed
data_PbICl
_space_group_name_H-M_alt 'P 1 m 1'
_space_group_IT_number 6
_space_group_name_Hall 'P -2y'
_cell_length_a 7.3327
_cell_length_b 4.5126
_cell_length_c 7.7787
_cell_angle_alpha 90.00
_cell_angle_beta 104.44
_cell_angle_gamma 90.00
loop_
_atom_site_label
_atom_site_type_symbol
_atom_site_fract_x
_atom_site_fract_y
_atom_site_fract_z
_atom_site_occupancy
Pb1 Pb 0.0000 0.0000 0.0000 1
Pb2 Pb 0.0016 0.5000 0.5006 1
I1 I 0.2798 0.5000 0.2280 1
I2 I 0.7209 0.5000 0.7698 1
Cl1 Cl 0.1972 0.0000 0.7151 1
Cl2 Cl 0.8052 0.0000 0.2870 1
# ρ, Mg/m³: 4.92
# DFT total energy, eV per atom: -3.254

***

[3]
# PBE-GGA Pb2I3Cl, relaxed
data_Pb2I3Cl
_space_group_name_H-M_alt 'C 1 2/m 1'
_space_group_IT_number 12
_space_group_name_Hall '-C 2y'
_cell_length_a 18.4283
_cell_length_b 4.6937
_cell_length_c 12.7791
_cell_angle_alpha 90.00
_cell_angle_beta 117.87
_cell_angle_gamma 90.00
loop_
_atom_site_label
_atom_site_type_symbol
_atom_site_fract_x
_atom_site_fract_y
_atom_site_fract_z
_atom_site_occupancy
Pb1 Pb 0.1136 0.0000 0.4378 1
Pb2 Pb 0.1372 0.5000 0.8252 1
I1 I 0.0527 0.5000 0.2352 1
I2 I 0.1531 0.0000 0.0071 1
I3 I 0.2305 0.5000 0.6224 1
Cl1 Cl 0.0722 0.0000 0.6513 1
# Distance to the lowest polymorph of the same formula, kJ/mol of atoms: 0.7
# ρ, Mg/m³: 5.65
# DFT total energy, eV per atom: -3.077

***

[4]
# PBE-GGA Pb2ICl, relaxed
data_Pb2ICl
_space_group_name_H-M_alt 'I -4 2 d'
_space_group_IT_number 122
_space_group_name_Hall 'I -4 2bw'
_cell_length_a 8.6988
_cell_length_b 8.6988
_cell_length_c 7.1359
_cell_angle_alpha 90.00
_cell_angle_beta 90.00
_cell_angle_gamma 90.00
loop_
_atom_site_label
_atom_site_type_symbol
_atom_site_fract_x
_atom_site_fract_y
_atom_site_fract_z
_atom_site_occupancy
Pb1 Pb 0.2266 0.2500 0.1250 1
I1 I 0.0000 0.0000 0.5000 1
Cl1 Cl 0.0000 0.0000 0.0000 1
# Distance to the lowest polymorph of the same formula, kJ/mol of atoms: 0.0
# ρ, Mg/m³: 7.09
# DFT total energy, eV per atom: -3.078

***

What is the ρ in the third record?
5.65 Mg/m³